[1]
Entry from Alexandria: a geometry-optimized GaAuIO2 structure (PBE).

Results
ΔE to the lowest computed polymorph = 625 meV/atom
Uncorrected formation energy = 0.323 eV/atom
Size of the total moment = 1.40 μB per formula unit

Unit cell a=4.099 b=4.099 c=7.086 alpha=90.00 beta=90.00 gamma=90.00
Atoms (fractional coordinates):
1 Ga 0.000 0.000 0.000
2 Au 0.500 0.500 0.500
3 I 0.500 0.500 0.000
4 O 0.000 0.500 0.500
5 O 0.500 0.000 0.500

[2]
Entry from Alexandria: a geometry-optimized DyYMnCu structure (PBE).

Results
Energy relative to the elements = 0.03 eV/atom
Size of the total moment = 3.19 μB per formula unit

Unit cell a=7.021 b=7.021 c=7.021 alpha=90.00 beta=90.00 gamma=90.00
Atoms (fractional coordinates):
1 Dy 0.000 0.000 0.000
2 Dy 0.000 0.500 0.500
3 Dy 0.500 0.000 0.500
4 Dy 0.500 0.500 0.000
5 Y 0.000 0.000 0.500
6 Y 0.000 0.500 0.000
7 Y 0.500 0.000 0.000
8 Y 0.500 0.500 0.500
9 Mn 0.250 0.250 0.750
10 Mn 0.250 0.750 0.250
11 Mn 0.750 0.250 0.250
12 Mn 0.750 0.750 0.750
13 Cu 0.250 0.250 0.250
14 Cu 0.250 0.750 0.750
15 Cu 0.750 0.250 0.750
16 Cu 0.750 0.750 0.250

[3]
Entry from Alexandria: a geometry-optimized Dy8Ni3Ag2 structure (PBE).

Results
Energy relative to the elements = -0.16 eV/atom
Size of the total moment = 0.00 μB per formula unit

Unit cell a=8.128 b=8.128 c=6.907 alpha=105.61 beta=105.61 gamma=52.64
Atoms (fractional coordinates):
1 Dy 0.096 0.096 0.421
2 Dy 0.143 0.639 0.120
3 Dy 0.361 0.857 0.880
4 Dy 0.362 0.362 0.634
5 Dy 0.638 0.638 0.366
6 Dy 0.639 0.143 0.120
7 Dy 0.857 0.361 0.880
8 Dy 0.904 0.904 0.579
9 Ni 0.318 0.682 0.500
10 Ni 0.500 0.500 0.000
11 Ni 0.682 0.318 0.500
12 Ag 0.239 0.239 0.194
13 Ag 0.761 0.761 0.806

[4]
Entry from Alexandria: a geometry-optimized CsAlBi2 structure (PBE).

Results
Energy relative to the elements = 0.01 eV/atom
Size of the total moment = 0.00 μB per formula unit

Unit cell a=5.040 b=5.040 c=21.711 alpha=90.00 beta=90.00 gamma=120.00
Atoms (fractional coordinates):
1 Cs 0.000 0.000 0.000
2 Cs 0.333 0.667 0.667
3 Cs 0.667 0.333 0.333
4 Al 0.000 0.000 0.500
5 Al 0.333 0.667 0.167
6 Al 0.667 0.333 0.833
7 Bi 0.000 0.000 0.207
8 Bi 0.000 0.000 0.793
9 Bi 0.333 0.667 0.460
10 Bi 0.333 0.667 0.874
11 Bi 0.667 0.333 0.126
12 Bi 0.667 0.333 0.540

Q: Which of these has the highest size of the total moment?
A: DyYMnCu